(1)
Here is a relaxed structure of CuH4C2S2N2Cl from OQMD. Energies are from PBE.

Lattice parameters (Å, degrees): 6.769 11.495 15.478 90.00 90.00 90.00
Element x y z (fractional)
Cu (0.411, 0.245, 0.170)
H (0.844, 0.088, 0.468)
H (0.077, 0.923, 0.798)
H (0.344, 0.088, 0.032)
C (0.339, 0.216, 0.372)
H (0.356, 0.071, 0.918)
S (0.242, 0.201, 0.791)
Cl (0.920, 0.459, 0.838)
H (0.923, 0.077, 0.202)
H (0.077, 0.577, 0.298)
H (0.656, 0.588, 0.468)
H (0.577, 0.923, 0.702)
N (0.669, 0.876, 0.029)
S (0.758, 0.701, 0.709)
C (0.664, 0.762, 0.038)
Cu (0.911, 0.255, 0.830)
H (0.577, 0.577, 0.202)
S (0.742, 0.201, 0.709)
Cl (0.580, 0.959, 0.838)
H (0.656, 0.912, 0.968)
S (0.242, 0.299, 0.291)
S (0.835, 0.334, 0.455)
C (0.339, 0.284, 0.872)
Cu (0.911, 0.245, 0.330)
N (0.419, 0.387, 0.859)
S (0.258, 0.701, 0.791)
C (0.161, 0.784, 0.872)
S (0.758, 0.799, 0.209)
C (0.836, 0.238, 0.538)
N (0.919, 0.387, 0.641)
Cl (0.580, 0.541, 0.338)
S (0.335, 0.334, 0.045)
Cu (0.589, 0.745, 0.330)
C (0.836, 0.262, 0.038)
H (0.019, 0.931, 0.910)
H (0.519, 0.931, 0.590)
Cu (0.589, 0.755, 0.830)
N (0.419, 0.113, 0.359)
N (0.081, 0.613, 0.359)
H (0.144, 0.929, 0.418)
C (0.839, 0.284, 0.628)
C (0.336, 0.238, 0.962)
C (0.336, 0.262, 0.462)
C (0.164, 0.738, 0.962)
S (0.165, 0.666, 0.545)
H (0.156, 0.588, 0.032)
H (0.481, 0.069, 0.410)
H (0.856, 0.071, 0.582)
S (0.335, 0.166, 0.545)
S (0.665, 0.834, 0.455)
H (0.923, 0.423, 0.702)
N (0.331, 0.376, 0.471)
N (0.331, 0.124, 0.971)
Cl (0.080, 0.959, 0.662)
S (0.742, 0.299, 0.209)
N (0.081, 0.887, 0.859)
S (0.665, 0.666, 0.955)
N (0.581, 0.887, 0.641)
Cl (0.420, 0.459, 0.662)
H (0.856, 0.429, 0.082)
N (0.169, 0.624, 0.971)
N (0.581, 0.613, 0.141)
C (0.164, 0.762, 0.462)
C (0.661, 0.716, 0.128)
C (0.664, 0.738, 0.538)
H (0.644, 0.929, 0.082)
H (0.844, 0.412, 0.968)
N (0.831, 0.124, 0.529)
S (0.258, 0.799, 0.291)
Cu (0.089, 0.755, 0.670)
H (0.981, 0.069, 0.090)
H (0.423, 0.423, 0.798)
H (0.344, 0.412, 0.532)
S (0.165, 0.834, 0.045)
N (0.669, 0.624, 0.529)
Cl (0.420, 0.041, 0.162)
Cu (0.089, 0.745, 0.170)
Cl (0.080, 0.541, 0.162)
H (0.156, 0.912, 0.532)
Cu (0.411, 0.255, 0.670)
N (0.169, 0.876, 0.471)
C (0.161, 0.716, 0.372)
H (0.981, 0.431, 0.590)
H (0.423, 0.077, 0.298)
C (0.839, 0.216, 0.128)
C (0.661, 0.784, 0.628)
Cl (0.920, 0.041, 0.338)
H (0.144, 0.571, 0.918)
H (0.644, 0.571, 0.582)
N (0.919, 0.113, 0.141)
S (0.835, 0.166, 0.955)
H (0.481, 0.431, 0.910)
H (0.519, 0.569, 0.090)
N (0.831, 0.376, 0.029)
H (0.019, 0.569, 0.410)
H (0.356, 0.429, 0.418)

Computed properties:
Space-group type: Pbca (61)
E, eV per atom: -5.40

(2)
Here is a relaxed structure of NdPbNO from OQMD. Energies are from PBE.

Lattice parameters (Å, degrees): 4.345 4.345 7.769 90.00 90.00 90.00
Element x y z (fractional)
O (0.000, 0.000, 0.000)
Nd (0.000, 0.500, 0.879)
N (0.000, 0.500, 0.337)
Pb (0.500, 0.500, 0.500)
Nd (0.500, 0.000, 0.121)
Pb (0.000, 0.000, 0.500)
O (0.500, 0.500, 0.000)
N (0.500, 0.000, 0.663)

Computed properties:
Space-group type: P4/nmm (129)
E above lowest polymorph, meV/atom: 324.2
E, eV per atom: -6.34
M_tot, μB/f.u.: 0.0

(3)
Here is a relaxed structure of RbErSO from OQMD. Energies are from PBE.

Lattice parameters (Å, degrees): 4.353 8.306 6.589 90.00 90.00 90.00
Element x y z (fractional)
O (0.500, 0.080, 0.230)
Er (0.500, 0.877, 0.043)
O (0.500, 0.920, 0.730)
S (0.000, 0.710, 0.112)
Er (0.500, 0.123, 0.543)
S (0.000, 0.290, 0.612)
Rb (0.000, 0.308, 0.105)
Rb (0.000, 0.692, 0.605)

Computed properties:
Space-group type: Pmc2_1 (26)
E above lowest polymorph, meV/atom: 71.0
E, eV per atom: -5.87
M_tot, μB/f.u.: 0.0